# HoErCd | the Alexandria database | PBE | optimized geometry
data_HoErCd
_chemical_formula_sum 'Ho2 Er2 Cd2'
_symmetry_space_group_name_H-M 'P 1'
_symmetry_Int_Tables_number 1
_cell_length_a 3.518
_cell_length_b 13.877
_cell_length_c 13.877
_cell_angle_alpha 14.41
_cell_angle_beta 90.00
_cell_angle_gamma 90.00
loop_
_symmetry_equiv_pos_as_xyz
'x,y,z'
loop_
_atom_site_label
_atom_site_type_symbol
_atom_site_fract_x
_atom_site_fract_y
_atom_site_fract_z
Ho1 Ho 0.000 0.000 0.000
Ho2 Ho 0.000 0.150 0.150
Er1 Er 0.000 0.303 0.303
Er2 Er 0.500 0.891 0.891
Cd1 Cd 0.500 0.575 0.575
Cd2 Cd 0.500 0.726 0.726
# **Calculated total energy**: -20.735 eV per cell
# **ΔE to the lowest computed polymorph**: 86 meV per atom
# **Magnetic moment**: 0.163 μB/cell
# **Calculated formation energy**: -104 meV per atom